No. 1
Material: DyYIn2
Method: DFT, meta-GGA SCAN
State: single point on PBEsol structure

```
data_DyYIn2
_chemical_formula_sum 'Dy1 Y1 In2'
_space_group_name_H-M_alt 'P 1'
_space_group_IT_number 1
_cell_length_a 5.224
_cell_length_b 5.224
_cell_length_c 5.224
_cell_angle_alpha 60.00
_cell_angle_beta 60.00
_cell_angle_gamma 60.00
loop_
_space_group_symop_operation_xyz
'x,y,z'
loop_
_atom_site_label
_atom_site_fract_x
_atom_site_fract_y
_atom_site_fract_z
Y1 0.000 0.000 0.000
In1 0.750 0.750 0.750
In2 0.250 0.250 0.250
Dy1 0.500 0.500 0.500
```

Calculated formation energy (meV per atom): -647
Calculated total energy (eV/f.u.): -145.002
Crystal system: cubic
Space-group type: Fm-3m

---

No. 2
Material: Dy2ZnIn
Method: DFT, meta-GGA SCAN
State: single point on PBEsol structure

```
data_Dy2ZnIn
_chemical_formula_sum 'Dy2 Zn1 In1'
_space_group_name_H-M_alt 'P 1'
_space_group_IT_number 1
_cell_length_a 5.107
_cell_length_b 5.107
_cell_length_c 5.107
_cell_angle_alpha 60.00
_cell_angle_beta 60.00
_cell_angle_gamma 60.00
loop_
_space_group_symop_operation_xyz
'x,y,z'
loop_
_atom_site_label
_atom_site_fract_x
_atom_site_fract_y
_atom_site_fract_z
In1 0.000 0.000 0.000
Dy1 0.250 0.250 0.250
Dy2 0.750 0.750 0.750
Zn1 0.500 0.500 0.500
```

Calculated formation energy (meV per atom): -517
Calculated total energy (eV/f.u.): -144.562
Crystal system: cubic
Space-group type: Fm-3m

---

No. 3
Material: DyZnIn
Method: DFT, meta-GGA SCAN
State: single point on PBEsol structure

```
data_DyZnIn
_chemical_formula_sum 'Dy2 Zn2 In2'
_space_group_name_H-M_alt 'P 1'
_space_group_IT_number 1
_cell_length_a 4.591
_cell_length_b 4.591
_cell_length_c 7.094
_cell_angle_alpha 90.00
_cell_angle_beta 90.00
_cell_angle_gamma 120.00
loop_
_space_group_symop_operation_xyz
'x,y,z'
loop_
_atom_site_label
_atom_site_fract_x
_atom_site_fract_y
_atom_site_fract_z
Dy1 0.000 0.000 0.500
Dy2 0.000 0.000 0.000
Zn1 0.667 0.333 0.250
Zn2 0.333 0.667 0.750
In1 0.667 0.333 0.750
In2 0.333 0.667 0.250
```

Calculated formation energy (meV per atom): -562
Calculated total energy (eV/f.u.): -96.384
Crystal system: hexagonal
Space-group type: P6_3/mmc

---

No. 4
Material: LiDy2Ir
Method: DFT, meta-GGA SCAN
State: single point on PBEsol structure

```
data_LiDy2Ir
_chemical_formula_sum 'Li1 Dy2 Ir1'
_space_group_name_H-M_alt 'P 1'
_space_group_IT_number 1
_cell_length_a 4.842
_cell_length_b 4.842
_cell_length_c 4.842
_cell_angle_alpha 60.00
_cell_angle_beta 60.00
_cell_angle_gamma 60.00
loop_
_space_group_symop_operation_xyz
'x,y,z'
loop_
_atom_site_label
_atom_site_fract_x
_atom_site_fract_y
_atom_site_fract_z
Dy1 0.250 0.250 0.250
Dy2 0.750 0.750 0.750
Ir1 0.500 0.500 0.500
Li1 0.000 0.000 0.000
```

Calculated formation energy (meV per atom): -717
Calculated total energy (eV/f.u.): -171.950
Crystal system: cubic
Space-group type: Fm-3m

---

No. 5
Material: DyLuIr2
Method: DFT, meta-GGA SCAN
State: single point on PBEsol structure

```
data_DyLuIr2
_chemical_formula_sum 'Dy1 Lu1 Ir2'
_space_group_name_H-M_alt 'P 1'
_space_group_IT_number 1
_cell_length_a 4.724
_cell_length_b 4.724
_cell_length_c 4.724
_cell_angle_alpha 60.00
_cell_angle_beta 60.00
_cell_angle_gamma 60.00
loop_
_space_group_symop_operation_xyz
'x,y,z'
loop_
_atom_site_label
_atom_site_fract_x
_atom_site_fract_y
_atom_site_fract_z
Dy1 0.500 0.500 0.500
Lu1 0.000 0.000 0.000
Ir1 0.750 0.750 0.750
Ir2 0.250 0.250 0.250
```

Calculated formation energy (meV per atom): -1087
Calculated total energy (eV/f.u.): -249.687
Crystal system: cubic
Space-group type: Fm-3m

---

No. 6
Material: Dy2IrPd
Method: DFT, meta-GGA SCAN
State: single point on PBEsol structure

```
data_Dy2IrPd
_chemical_formula_sum 'Dy2 Ir1 Pd1'
_space_group_name_H-M_alt 'P 1'
_space_group_IT_number 1
_cell_length_a 4.814
_cell_length_b 4.814
_cell_length_c 4.814
_cell_angle_alpha 60.00
_cell_angle_beta 60.00
_cell_angle_gamma 60.00
loop_
_space_group_symop_operation_xyz
'x,y,z'
loop_
_atom_site_label
_atom_site_fract_x
_atom_site_fract_y
_atom_site_fract_z
Dy1 0.250 0.250 0.250
Dy2 0.750 0.750 0.750
Ir1 0.500 0.500 0.500
Pd1 0.000 0.000 0.000
```

Calculated formation energy (meV per atom): -1056
Calculated total energy (eV/f.u.): -203.689
Crystal system: cubic
Space-group type: Fm-3m

---

No. 7
Material: Dy5Sc5Si20Ir8
Method: DFT, meta-GGA SCAN
State: single point on PBEsol structure

```
data_Dy5Sc5Si20Ir8
_chemical_formula_sum 'Dy5 Sc5 Si20 Ir8'
_space_group_name_H-M_alt 'P 1'
_space_group_IT_number 1
_cell_length_a 4.136
_cell_length_b 12.404
_cell_length_c 12.404
_cell_angle_alpha 89.93
_cell_angle_beta 90.00
_cell_angle_gamma 90.00
loop_
_space_group_symop_operation_xyz
'x,y,z'
loop_
_atom_site_label
_atom_site_fract_x
_atom_site_fract_y
_atom_site_fract_z
Si1 0.000 0.434 0.566
Si2 0.500 0.343 0.006
Si3 0.500 0.006 0.343
Si4 0.000 0.067 0.067
Si5 0.000 0.800 0.666
Si6 0.000 0.166 0.699
Si7 0.500 0.657 0.994
Si8 0.500 0.501 0.840
Si9 0.500 0.157 0.508
Si10 0.000 0.833 0.302
Si11 0.000 0.334 0.199
Si12 0.000 0.666 0.800
Si13 0.000 0.302 0.833
Si14 0.000 0.933 0.933
Si15 0.500 0.840 0.501
Si16 0.500 0.508 0.157
Si17 0.500 0.994 0.657
Si18 0.000 0.199 0.334
Si19 0.000 0.566 0.434
Si20 0.000 0.699 0.166
Ir1 0.000 0.253 0.019
Ir2 0.000 0.247 0.520
Ir3 0.000 0.482 0.751
Ir4 0.000 0.751 0.482
Ir5 0.000 0.019 0.253
Ir6 0.000 0.746 0.980
Ir7 0.000 0.980 0.746
Ir8 0.000 0.520 0.247
Dy1 0.500 0.384 0.384
Dy2 0.500 0.884 0.116
Dy3 0.000 0.999 0.500
Dy4 0.500 0.116 0.884
Dy5 0.000 0.500 0.999
Sc1 0.500 0.328 0.674
Sc2 0.500 0.616 0.616
Sc3 0.500 0.173 0.173
Sc4 0.500 0.826 0.826
Sc5 0.500 0.674 0.328
```

Calculated total energy (eV/f.u.): -1117.027
Formation energy without anion corrections (eV/atom): -0.99
Crystal system: orthorhombic
Space-group type: Amm2

---

No. 8
Material: DySiIr
Method: DFT, meta-GGA SCAN
State: single point on PBEsol structure

```
data_DySiIr
_chemical_formula_sum 'Dy4 Si4 Ir4'
_space_group_name_H-M_alt 'P 1'
_space_group_IT_number 1
_cell_length_a 4.200
_cell_length_b 6.804
_cell_length_c 7.315
_cell_angle_alpha 90.00
_cell_angle_beta 90.00
_cell_angle_gamma 90.00
loop_
_space_group_symop_operation_xyz
'x,y,z'
loop_
_atom_site_label
_atom_site_fract_x
_atom_site_fract_y
_atom_site_fract_z
Ir1 0.750 0.844 0.932
Ir2 0.250 0.656 0.432
Ir3 0.250 0.156 0.068
Ir4 0.750 0.344 0.568
Dy1 0.250 0.499 0.814
Dy2 0.250 0.999 0.686
Dy3 0.750 0.001 0.314
Dy4 0.750 0.501 0.186
Si1 0.250 0.298 0.390
Si2 0.750 0.202 0.890
Si3 0.750 0.702 0.610
Si4 0.250 0.798 0.110
```

Calculated total energy (eV/f.u.): -132.541
Formation energy without anion corrections (eV/atom): -1.21
Crystal system: orthorhombic
Space-group type: Pnma

---

No. 9
Material: TbDyIr2
Method: DFT, meta-GGA SCAN
State: single point on PBEsol structure

```
data_TbDyIr2
_chemical_formula_sum 'Tb1 Dy1 Ir2'
_space_group_name_H-M_alt 'P 1'
_space_group_IT_number 1
_cell_length_a 4.785
_cell_length_b 4.785
_cell_length_c 4.785
_cell_angle_alpha 60.00
_cell_angle_beta 60.00
_cell_angle_gamma 60.00
loop_
_space_group_symop_operation_xyz
'x,y,z'
loop_
_atom_site_label
_atom_site_fract_x
_atom_site_fract_y
_atom_site_fract_z
Tb1 0.000 0.000 0.000
Ir1 0.750 0.750 0.750
Ir2 0.250 0.250 0.250
Dy1 0.500 0.500 0.500
```

Calculated formation energy (meV per atom): -973
Calculated total energy (eV/f.u.): -240.649
Crystal system: cubic
Space-group type: Fm-3m

---

No. 10
Material: Dy7Te2Ir2
Method: DFT, meta-GGA SCAN
State: single point on PBEsol structure

```
data_Dy7Te2Ir2
_chemical_formula_sum 'Dy7 Te2 Ir2'
_space_group_name_H-M_alt 'P 1'
_space_group_IT_number 1
_cell_length_a 3.889
_cell_length_b 9.275
_cell_length_c 9.275
_cell_angle_alpha 60.11
_cell_angle_beta 77.90
_cell_angle_gamma 77.90
loop_
_space_group_symop_operation_xyz
'x,y,z'
loop_
_atom_site_label
_atom_site_fract_x
_atom_site_fract_y
_atom_site_fract_z
Ir1 0.739 0.856 0.667
Ir2 0.261 0.333 0.144
Te1 0.500 0.359 0.641
Te2 0.000 0.760 0.240
Dy1 0.817 0.080 0.287
Dy2 0.852 0.406 0.889
Dy3 0.631 0.475 0.263
Dy4 0.183 0.713 0.920
Dy5 0.369 0.737 0.525
Dy6 0.148 0.111 0.594
Dy7 0.500 0.024 0.976
```

Calculated total energy (eV/f.u.): -562.896
Formation energy without anion corrections (eV/atom): -1.06
Crystal system: orthorhombic
Space-group type: Imm2

---

No. 11
Material: K2RbDyV2O8
Method: DFT, meta-GGA SCAN
State: single point on PBEsol structure

```
data_K2RbDyV2O8
_chemical_formula_sum 'K2 Rb1 Dy1 V2 O8'
_space_group_name_H-M_alt 'P 1'
_space_group_IT_number 1
_cell_length_a 5.920
_cell_length_b 5.920
_cell_length_c 7.604
_cell_angle_alpha 90.00
_cell_angle_beta 90.00
_cell_angle_gamma 120.00
loop_
_space_group_symop_operation_xyz
'x,y,z'
loop_
_atom_site_label
_atom_site_fract_x
_atom_site_fract_y
_atom_site_fract_z
O1 0.825 0.650 0.675
O2 0.175 0.825 0.325
O3 0.825 0.175 0.675
O4 0.333 0.667 0.027
O5 0.175 0.350 0.325
O6 0.350 0.175 0.675
O7 0.667 0.333 0.973
O8 0.650 0.825 0.325
V1 0.667 0.333 0.755
V2 0.333 0.667 0.245
K1 0.667 0.333 0.311
K2 0.333 0.667 0.689
Rb1 0.000 0.000 0.000
Dy1 0.000 0.000 0.500
```

Calculated total energy (eV/f.u.): -209.613
Formation energy without anion corrections (eV/atom): -2.83
Crystal system: trigonal
Space-group type: P-3m1

---

No. 12
Material: KDyTiO4
Method: DFT, meta-GGA SCAN
State: single point on PBEsol structure

```
data_KDyTiO4
_chemical_formula_sum 'K4 Dy4 Ti4 O16'
_space_group_name_H-M_alt 'P 1'
_space_group_IT_number 1
_cell_length_a 5.327
_cell_length_b 5.445
_cell_length_c 12.816
_cell_angle_alpha 90.00
_cell_angle_beta 90.00
_cell_angle_gamma 90.00
loop_
_space_group_symop_operation_xyz
'x,y,z'
loop_
_atom_site_label
_atom_site_fract_x
_atom_site_fract_y
_atom_site_fract_z
K1 0.750 0.522 0.595
K2 0.250 0.978 0.595
K3 0.250 0.478 0.405
K4 0.750 0.022 0.405
O1 0.750 0.534 0.380
O2 0.000 0.250 0.802
O3 0.250 0.072 0.061
O4 0.500 0.750 0.198
O5 0.500 0.750 0.773
O6 0.000 0.250 0.227
O7 0.250 0.466 0.620
O8 0.250 0.966 0.380
O9 0.750 0.034 0.620
O10 0.250 0.572 0.939
O11 0.750 0.928 0.939
O12 0.750 0.428 0.061
O13 0.000 0.750 0.773
O14 0.500 0.250 0.227
O15 0.000 0.750 0.198
O16 0.500 0.250 0.802
Dy1 0.250 0.473 0.101
Dy2 0.750 0.527 0.899
Dy3 0.250 0.973 0.899
Dy4 0.750 0.027 0.101
Ti1 0.750 0.508 0.244
Ti2 0.750 0.008 0.756
Ti3 0.250 0.492 0.756
Ti4 0.250 0.992 0.244
```

Calculated total energy (eV/f.u.): -120.227
Formation energy without anion corrections (eV/atom): -3.31
Crystal system: orthorhombic
Space-group type: Pbcm

---

no.,total magnetization (Bohr magnetons per cell)
1,0.00
2,0.00
3,0.01
4,0.00
5,0.00
6,0.00
7,0.00
8,0.00
9,0.00
10,0.00
11,0.00
12,0.00